ZrBe2S2: relaxed, PBE.

Cell and atoms, written as POSCAR:
```
ZrBe2S2
1.0
-0.0152 -3.7307 -2.1045
-0.2350 -2.1006 3.7255
-3.8538 -2.8035 0.6385
Zr S Be
1 2 2
Direct
0.0000 0.0000 0.0000
0.7500 0.2500 0.5000
0.2500 0.7500 0.5000
0.6434 0.6434 0.7132
0.3566 0.3566 0.2868
```

## Properties
ΔE_f (raw), eV per atom: -0.32
Magnetic moment, μB/cell: 0.0
Space-group type: I4/mmm, No. 139
Electronic total energy, eV/atom: -5.172



CsZnGa: relaxed, PBE.

Cell and atoms, written as POSCAR:
```
CsZnGa
1.0
-4.0640 1.2479 -1.3393
0.3383 -7.7197 -0.8021
-0.5388 5.7271 6.9710
Zn Cs Ga
2 2 2
Direct
0.6505 0.3010 0.2445
0.0244 0.0489 0.0405
0.3238 0.6475 0.0527
0.4695 0.9390 0.6331
0.7656 0.5312 0.6514
0.1423 0.2845 0.4492
```

## Properties
Magnetic moment, μB/cell: 0.0
Space-group type: Cm, No. 8
Electronic total energy, eV/atom: -1.716
Calculated formation energy, eV per atom: 0.002



Er2Sc5Al4: relaxed, PBE.

Cell and atoms, written as POSCAR:
```
Er2Sc5Al4
1.0
-3.0383 -0.1283 0.6857
0.1099 -7.8186 -0.9749
2.2005 1.1980 9.9743
Al Sc Er
4 5 2
Direct
0.5000 0.1146 0.6278
0.5000 0.2528 0.1348
0.5000 0.8854 0.3722
0.5000 0.7472 0.8652
0.0000 0.4351 0.7102
0.0000 0.5000 0.0000
0.0000 0.0928 0.8764
0.0000 0.9072 0.1236
0.0000 0.5649 0.2898
0.0000 0.2213 0.4030
0.0000 0.7787 0.5970
```

## Properties
Magnetic moment, μB/cell: 0.7
Space-group type: P2/m, No. 10
Electronic total energy, eV/atom: -5.283
Calculated formation energy, eV per atom: -0.214



Dy2TiAl3: relaxed, PBE.

Cell and atoms, written as POSCAR:
```
Dy2TiAl3
1.0
5.0128 -0.1511 -2.6366
-3.1867 4.6787 -0.2384
-0.2743 0.0973 5.5614
Ti Al Dy
1 3 2
Direct
0.0000 0.0000 0.0000
0.5000 0.5000 0.5000
0.0000 0.0000 0.5000
0.5000 0.0000 0.5000
0.7443 0.3721 0.1164
0.2557 0.6279 0.8836
```

## Properties
Magnetic moment, μB/cell: 0.0
Space-group type: R-3m, No. 166
Electronic total energy, eV/atom: -5.162
Calculated formation energy, eV per atom: -0.441



La2CoPtC: relaxed, PBE.

Cell and atoms, written as POSCAR:
```
La2CoPtC
1.0
5.2952 0.0000 0.0000
0.0000 5.2952 0.0000
0.0000 0.0000 3.6336
Co Pt La C
1 1 2 1
Direct
0.0000 0.0000 0.5000
0.5000 0.5000 0.5000
0.5000 0.0000 0.0000
0.0000 0.5000 0.0000
0.0000 0.0000 0.0000
```

## Properties
Magnetic moment, μB/cell: 0.0
Space-group type: P4/mmm, No. 123
Electronic total energy, eV/atom: -6.992
Calculated formation energy, eV per atom: -0.547



KRbGaF6: relaxed, PBE.

Cell and atoms, written as POSCAR:
```
KRbGaF6
1.0
5.9928 0.0544 0.1147
3.0434 5.2473 0.0143
0.0820 -0.0434 4.6430
F K Rb Ga
6 1 1 1
Direct
0.6640 0.1559 0.3622
0.2144 0.6258 0.3107
0.4614 0.0394 0.8037
0.1987 0.1728 0.3150
0.4691 0.4950 0.7954
0.9971 0.5061 0.7460
0.6692 0.6675 0.2598
0.9936 0.0034 0.8497
0.3322 0.3341 0.5574
```

## Properties
ΔE_f (raw), eV per atom: -2.45
Magnetic moment, μB/cell: 1.0
Space-group type: P1, No. 1
Electronic total energy, eV/atom: -4.259



Sm7Rh3: relaxed, PBE.

Cell and atoms, written as POSCAR:
```
Sm7Rh3
1.0
-4.8812 -3.5601 1.7905
-3.8167 0.5926 -9.2268
6.2771 -7.4253 2.3484
Sm Rh
14 6
Direct
0.4295 0.1242 0.2484
0.9295 0.2484 0.1242
0.6240 0.9193 0.4596
0.6240 0.5404 0.0807
0.6435 0.3333 0.6667
0.4295 0.7516 0.8758
0.1240 0.0807 0.5404
0.1435 0.6667 0.3333
0.4295 0.1242 0.8758
0.1240 0.4596 0.9193
0.9295 0.8758 0.1242
0.9295 0.8758 0.7516
0.6240 0.5404 0.4596
0.1240 0.4596 0.5404
0.3680 0.8107 0.1893
0.8680 0.1893 0.8107
0.3680 0.8107 0.6213
0.8680 0.1893 0.3787
0.8680 0.6213 0.8107
0.3680 0.3787 0.1893
```

## Properties
Magnetic moment, μB/cell: 0.0
Space-group type: P6_3mc, No. 186
Electronic total energy, eV/atom: -6.050
Calculated formation energy, eV per atom: -0.542



Pm4Ag2Hg: relaxed, PBE.

Cell and atoms, written as POSCAR:
```
Pm4Ag2Hg
1.0
-4.3408 0.0565 2.6431
-0.3848 -2.6634 4.3116
1.5504 6.7269 7.2894
Pm Hg Ag
4 1 2
Direct
0.6218 0.6218 0.1346
0.7945 0.7945 0.6164
0.2055 0.2055 0.3836
0.3782 0.3782 0.8654
0.0000 0.0000 0.0000
0.0997 0.0997 0.7010
0.9003 0.9003 0.2990
```

## Properties
Magnetic moment, μB/cell: 0.0
Space-group type: R-3m, No. 166
Electronic total energy, eV/atom: -3.644
Calculated formation energy, eV per atom: -0.072



Ag8H: relaxed, PBE.

Cell and atoms, written as POSCAR:
```
Ag8H
1.0
5.9078 0.0000 0.0000
-2.9539 5.1163 0.0000
0.0000 0.0000 4.8524
Ag H
8 1
Direct
0.1638 0.8275 0.5012
0.5029 0.5058 0.9988
0.9942 0.9971 0.9988
0.6725 0.3362 0.5012
0.1638 0.3362 0.5012
0.5029 0.9971 0.9988
0.6667 0.8333 0.5050
0.0000 0.5000 0.9950
0.3333 0.1667 0.2500
```

## Properties
Magnetic moment, μB/cell: 0.0
Space-group type: P-3m1, No. 164
Electronic total energy, eV/atom: -2.810



SiNiHg2C: relaxed, PBE.

Cell and atoms, written as POSCAR:
```
SiNiHg2C
1.0
5.3218 0.0000 0.0000
0.0000 3.3743 0.0000
0.0000 0.0000 5.3218
Si Ni Hg C
1 1 2 1
Direct
0.0000 0.0000 0.0000
0.5000 0.5000 0.5000
0.5000 0.0000 0.0000
0.0000 0.0000 0.5000
0.0000 0.5000 0.0000
```

## Properties
ΔE_f (raw), eV per atom: 1.14
Magnetic moment, μB/cell: 0.2
Space-group type: P4/mmm, No. 123
Electronic total energy, eV/atom: -3.069



Pr3IrI2: relaxed, PBE.

Cell and atoms, written as POSCAR:
```
Pr3IrI2
1.0
4.0692 0.0000 -0.7797
-0.4220 5.8658 -2.2021
-0.4786 -0.2011 8.5100
Pr I Ir
3 2 1
Direct
0.6210 0.6210 0.2419
0.3790 0.3790 0.7581
0.0000 0.0000 0.0000
0.6834 0.1834 0.3667
0.3166 0.8166 0.6333
0.0000 0.5000 0.0000
```

## Properties
ΔE_f (raw), eV per atom: -0.91
Magnetic moment, μB/cell: 0.5
Space-group type: Immm, No. 71
Electronic total energy, eV/atom: -5.297



Al3AgBr: relaxed, PBE.

Cell and atoms, written as POSCAR:
```
Al3AgBr
1.0
-5.2043 -0.6639 -0.8240
0.7017 -5.2606 -0.1936
-0.7920 -0.2986 5.2429
Br Al Ag
1 3 1
Direct
0.0000 0.0000 0.0000
0.0000 0.5000 0.0000
0.0000 0.0000 0.5000
0.5000 0.0000 0.0000
0.5000 0.5000 0.5000
```

## Properties
ΔE_f (raw), eV per atom: 0.93
Magnetic moment, μB/cell: 0.0
Space-group type: Pm-3m, No. 221
Electronic total energy, eV/atom: -2.221



Number 1: V 13.70 Å³ per atom. Number 2: V 33.43 Å³ per atom. Number 3: V 22.34 Å³ per atom. Number 4: V 20.88 Å³ per atom. Number 5: V 20.38 Å³ per atom. Number 6: V 16.13 Å³ per atom. Number 7: V 27.30 Å³ per atom. Number 8: V 30.68 Å³ per atom. Number 9: V 16.30 Å³ per atom. Number 10: V 19.11 Å³ per atom. Number 11: V 33.18 Å³ per atom. Number 12: V 29.96 Å³ per atom.